## SmTh2Sc (PBE-GGA)

Data for an optimized crystal structure of SmTh2Sc.

Lattice parameters (Å, degrees): 3.5313 3.5313 9.8150 90.00 90.00 90.00
Last column: nearest neighbours and their distance in Å.
Element x y z (fractional)
Th 0.0000 0.0000 0.2362  4 Sc 3.41, 4 Th 3.53, 4 Sm 3.60
Sm 0.5000 0.5000 0.5000  4 Sm 3.53, 8 Th 3.60
Th 0.0000 0.0000 0.7638  4 Sc 3.41, 4 Th 3.53, 4 Sm 3.60
Sc 0.5000 0.5000 0.0000  8 Th 3.41, 4 Sc 3.53

Computed properties:
Electronic total energy ... -25.65 eV/f.u.
ΔE to the lowest computed polymorph ... 0.013 eV per atom
Volume ... 122.4 Å³/cell